[1]
Here is crystalline Na3ScCo at its relaxed geometry from Alexandria via LeMat-Bulk. Energies are from PBE.

Cell: 5.1990 5.1990 5.1990 Å, 90.00 90.00 90.00°
Element x y z (fractional)
Na  0.0000  0.0000  0.5000
Na  0.0000  0.5000  0.0000
Na  0.5000  0.0000  0.0000
Sc  0.5000  0.5000  0.5000
Co  0.0000  0.0000  0.0000

SG   No. 221
Formation enthalpy at 0 K   1063.3 meV/atom
Size of the total moment   0.9 μB per formula unit

=====

[2]
Here is crystalline Re2PtRh at its relaxed geometry from Alexandria via LeMat-Bulk. Energies are from PBE.

Cell: 3.8279 3.8279 8.0642 Å, 90.00 90.00 90.00°
Element x y z (fractional)
Re  0.0000  0.5000  0.2500
Re  0.0000  0.5000  0.7500
Re  0.5000  0.0000  0.2500
Re  0.5000  0.0000  0.7500
Pt  0.0000  0.0000  0.0000
Pt  0.5000  0.5000  0.5000
Rh  0.0000  0.0000  0.5000
Rh  0.5000  0.5000  0.0000

SG   No. 139
Formation enthalpy at 0 K   -42.7 meV/atom
Size of the total moment   0.0 μB per formula unit

=====

[3]
Here is crystalline Dy3Ga6Co5 at its relaxed geometry from Alexandria via LeMat-Bulk. Energies are from PBE.

Cell: 4.0842 12.2214 8.9972 Å, 90.00 90.00 90.00°
Element x y z (fractional)
Dy  0.2500  0.0525  0.2488
Dy  0.2500  0.4475  0.2488
Dy  0.2500  0.7500  0.2660
Dy  0.7500  0.2500  0.7340
Dy  0.7500  0.5525  0.7512
Dy  0.7500  0.9475  0.7512
Ga  0.2500  0.0714  0.5893
Ga  0.2500  0.2500  0.0356
Ga  0.2500  0.2500  0.4215
Ga  0.2500  0.4286  0.5893
Ga  0.2500  0.5985  0.9830
Ga  0.2500  0.9015  0.9830
Ga  0.7500  0.0985  0.0170
Ga  0.7500  0.4015  0.0170
Ga  0.7500  0.5714  0.4108
Ga  0.7500  0.7500  0.5785
Ga  0.7500  0.7500  0.9644
Ga  0.7500  0.9286  0.4108
Co  0.2500  0.0918  0.8660
Co  0.2500  0.4082  0.8660
Co  0.2500  0.6412  0.5456
Co  0.2500  0.7500  0.7786
Co  0.2500  0.8588  0.5456
Co  0.7500  0.1412  0.4544
Co  0.7500  0.2500  0.2214
Co  0.7500  0.3588  0.4544
Co  0.7500  0.5918  0.1340
Co  0.7500  0.9082  0.1340

SG   No. 59
Formation enthalpy at 0 K   -427.7 meV/atom
Size of the total moment   0.9 μB per formula unit

=====

[4]
Here is crystalline La3Bi2O at its relaxed geometry from Alexandria via LeMat-Bulk. Energies are from PBE.

Cell: 7.6391 7.6391 8.4903 Å, 96.32 96.32 51.81°
Element x y z (fractional)
La  0.1207  0.8793  0.7500
La  0.2606  0.4453  0.3119
La  0.4453  0.2606  0.8119
La  0.5547  0.7394  0.1881
La  0.7394  0.5547  0.6881
La  0.8793  0.1207  0.2500
Bi  0.1114  0.2248  0.0169
Bi  0.2248  0.1114  0.5169
Bi  0.7752  0.8886  0.4831
Bi  0.8886  0.7752  0.9831
O  0.4637  0.5363  0.7500
O  0.5363  0.4637  0.2500

SG   No. 15
Formation energy from raw total energies   -1.51 eV per atom
Size of the total moment   0.0 μB per formula unit

=====

Computed calculated density (g cm⁻³) in order:
2.0, 18.8, 8.9, 7.3
Computed density of states at the Fermi level (states/eV per cell) in order:
6.11, 5.66, 29.10, 7.50